Density functional theory data (PBE) for crystalline TlHPd2 at its relaxed geometry.

total DFT energy (no corrections) = -0.138 Ha/atom
space-group type = P4/mmm (123)

```
TlHPd2
1.0
-2.540 1.389 0.363
-0.439 -1.453 2.492
3.242 5.017 3.496
H Pd Tl
1 2 1
direct
0.500 0.500 0.000 H
0.000 0.000 0.810 Pd
0.000 0.000 0.190 Pd
0.500 0.500 0.500 Tl
```

***

Density functional theory data (PBE) for crystalline LaCu2Ru at its relaxed geometry.

ΔE_f = 0.5 eV per formula unit
space-group type = P2/m (10)

```
LaCu2Ru
1.0
4.504 0.000 0.000
0.000 3.328 -0.018
0.000 1.575 4.933
La Cu Ru
1 2 1
direct
0.500 0.250 0.250 La
0.000 0.925 0.938 Cu
0.000 0.575 0.562 Cu
0.500 0.750 0.750 Ru
```

***

Density functional theory data (PBE) for crystalline PmMg6Cu6 at its relaxed geometry.

ΔE_f = -1.5 eV per formula unit
space-group type = Immm (71)

```
PmMg6Cu6
1.0
4.874 0.000 1.948
2.398 6.520 1.070
0.017 -0.052 7.029
Mg Pm Cu
6 1 6
direct
0.653 0.347 0.347 Mg
0.692 0.808 0.808 Mg
0.347 0.653 0.653 Mg
0.000 0.661 0.339 Mg
0.308 0.192 0.192 Mg
0.000 0.339 0.661 Mg
0.000 0.000 0.000 Pm
0.500 0.000 0.500 Cu
0.000 0.000 0.500 Cu
0.500 0.500 0.000 Cu
0.500 0.770 0.230 Cu
0.000 0.500 0.000 Cu
0.500 0.230 0.770 Cu
```

***

Density functional theory data (PBE) for crystalline Ac12CoPb6 at its relaxed geometry.

ΔE_f = -6.0 eV per formula unit
space-group type = R-3 (148)

```
Ac12CoPb6
1.0
-3.698 -8.307 -1.280
3.742 -2.520 7.998
-7.583 3.116 4.137
Pb Ac Co
6 12 1
direct
0.139 0.742 0.364 Pb
0.636 0.861 0.258 Pb
0.742 0.364 0.139 Pb
0.364 0.139 0.742 Pb
0.258 0.636 0.861 Pb
0.861 0.258 0.636 Pb
0.956 0.075 0.301 Ac
0.583 0.449 0.805 Ac
0.195 0.417 0.551 Ac
0.925 0.699 0.044 Ac
0.301 0.956 0.075 Ac
0.044 0.925 0.699 Ac
0.699 0.044 0.925 Ac
0.417 0.551 0.195 Ac
0.805 0.583 0.449 Ac
0.449 0.805 0.583 Ac
0.075 0.301 0.956 Ac
0.551 0.195 0.417 Ac
0.000 0.000 0.000 Co
```

***

Density functional theory data (PBE) for crystalline Bi2Se2S at its relaxed geometry.

formation energy from raw total energies = -255.6 meV/atom
space-group type = Cmc2_1 (36)

```
Bi2Se2S
1.0
4.098 0.000 0.000
0.000 7.665 0.000
-2.049 0.000 8.794
S Se Bi
2 4 4
direct
0.610 0.921 0.220 S
0.390 0.421 0.780 S
0.973 0.760 0.946 Se
0.189 0.518 0.377 Se
0.027 0.260 0.054 Se
0.811 0.018 0.623 Se
0.433 0.062 0.867 Bi
0.172 0.104 0.344 Bi
0.828 0.604 0.656 Bi
0.567 0.562 0.133 Bi
```

***

Density functional theory data (PBE) for crystalline Ca2Mg5In4 at its relaxed geometry.

ΔE_f = -1.4 eV per formula unit
space-group type = Fmmm (69)

```
Ca2Mg5In4
1.0
6.187 0.000 0.000
3.093 5.115 0.000
3.093 0.000 9.647
Ca In Mg
2 4 5
direct
0.888 0.000 0.224 Ca
0.112 0.000 0.776 Ca
0.474 0.313 0.740 In
0.787 0.687 0.740 In
0.526 0.687 0.260 In
0.213 0.313 0.260 In
0.250 0.500 0.500 Mg
0.750 0.500 0.500 Mg
0.500 0.500 0.000 Mg
0.500 0.000 0.000 Mg
0.000 0.500 0.000 Mg
```

***

Density functional theory data (PBE) for crystalline SrScCu at its relaxed geometry.

ΔE_f = 0.1 eV per formula unit
space-group type = I4mm (107)

```
SrScCu
1.0
-5.435 -2.840 -3.046
-2.738 -4.918 -3.898
-1.144 -2.417 2.273
Cu Sc Sr
1 1 1
direct
0.973 0.973 0.027 Cu
0.379 0.379 0.621 Sc
0.648 0.648 0.352 Sr
```

***

Density functional theory data (PBE) for crystalline Zn3MoAs at its relaxed geometry.

ΔE_f = 5.5 eV per formula unit
space-group type = Pm-3m (221)

```
Zn3MoAs
1.0
4.764 0.000 0.000
0.000 4.764 0.000
0.000 0.000 4.764
Zn As Mo
3 1 1
direct
0.000 0.500 0.000 Zn
0.000 0.000 0.500 Zn
0.500 0.000 0.000 Zn
0.000 0.000 0.000 As
0.500 0.500 0.500 Mo
```